The following is a PBE calculation of a relaxed structure of TiPb3S, from Alexandria via LeMat-Bulk.

- spin magnetization (μB per formula unit) = 0.000
- energy relative to the elements, uncorrected (kJ/mol of formula units) = 315
- distance to the lowest polymorph of the same formula (meV per atom) = 181
- crystal system = cubic

Lattice parameters (Å, degrees): 5.409 5.409 5.409 90.00 90.00 90.00
Atoms (fractional coordinates):
Ti1 0.000 0.000 0.000
Pb1 0.000 0.500 0.500
Pb2 0.500 0.000 0.500
Pb3 0.500 0.500 0.000
S1 0.500 0.500 0.500



The following is a PBE calculation of a relaxed structure of SnAu2I6, from Alexandria via LeMat-Bulk.

- spin magnetization (μB per formula unit) = 0.000
- energy relative to the elements, uncorrected (kJ/mol of formula units) = -92
- distance to the lowest polymorph of the same formula (meV per atom) = 28
- crystal system = monoclinic

Lattice parameters (Å, degrees): 9.857 9.857 8.489 100.96 100.96 86.27
Atoms (fractional coordinates):
Sn1 0.090 0.910 0.750
Sn2 0.910 0.090 0.250
Au1 0.233 0.332 0.780
Au2 0.332 0.233 0.280
Au3 0.668 0.767 0.720
Au4 0.767 0.668 0.220
I1 0.004 0.780 0.371
I2 0.081 0.640 0.826
I3 0.220 0.996 0.129
I4 0.360 0.919 0.674
I5 0.378 0.413 0.554
I6 0.413 0.378 0.054
I7 0.587 0.622 0.946
I8 0.622 0.587 0.446
I9 0.640 0.081 0.326
I10 0.780 0.004 0.871
I11 0.919 0.360 0.174
I12 0.996 0.220 0.629



The following is a PBE calculation of a relaxed structure of AlRu2S, from Alexandria via LeMat-Bulk.

- spin magnetization (μB per formula unit) = 0.000
- energy relative to the elements, uncorrected (kJ/mol of formula units) = 88
- distance to the lowest polymorph of the same formula (meV per atom) = 251
- crystal system = tetragonal

Lattice parameters (Å, degrees): 6.268 6.268 6.268 127.25 127.25 77.85
Atoms (fractional coordinates):
Al1 0.000 0.000 0.000
Al2 0.750 0.250 0.500
Ru1 0.163 0.625 0.038
Ru2 0.375 0.413 0.538
Ru3 0.587 0.125 0.962
Ru4 0.875 0.837 0.462
S1 0.250 0.750 0.500
S2 0.500 0.500 0.000



The following is a PBE calculation of a relaxed structure of Pr2NdDy4, from Alexandria via LeMat-Bulk.

- spin magnetization (μB per formula unit) = 0.483
- ΔH_f (0 K) (kJ/mol of formula units) = 212
- distance to the lowest polymorph of the same formula (meV per atom) = 115
- crystal system = monoclinic

Lattice parameters (Å, degrees): 7.823 7.823 8.170 90.15 90.15 89.99
Atoms (fractional coordinates):
Pr1 0.000 0.000 0.000
Pr2 0.000 0.000 0.500
Pr3 0.000 0.500 0.000
Pr4 0.500 0.000 0.000
Nd1 0.500 0.500 0.000
Nd2 0.500 0.500 0.500
Dy1 0.249 0.748 0.719
Dy2 0.251 0.251 0.281
Dy3 0.251 0.251 0.719
Dy4 0.252 0.751 0.281
Dy5 0.748 0.249 0.719
Dy6 0.749 0.749 0.281
Dy7 0.749 0.749 0.719
Dy8 0.751 0.252 0.281



The following is a PBE calculation of a relaxed structure of Ta2AgRuPb, from Alexandria via LeMat-Bulk.

- spin magnetization (μB per formula unit) = 0.000
- ΔH_f (0 K) (kJ/mol of formula units) = 1071
- crystal system = tetragonal

Lattice parameters (Å, degrees): 4.946 4.946 4.906 90.00 90.00 90.00
Atoms (fractional coordinates):
Ta1 0.000 0.500 0.000
Ta2 0.500 0.000 0.000
Ag1 0.000 0.000 0.000
Ru1 0.500 0.500 0.500
Pb1 0.000 0.000 0.500



The following is a PBE calculation of a relaxed structure of CoTeSeN2, from Alexandria via LeMat-Bulk.

- spin magnetization (μB per formula unit) = 2.612
- energy relative to the elements, uncorrected (kJ/mol of formula units) = 767
- distance to the lowest polymorph of the same formula (meV per atom) = 471
- crystal system = tetragonal

Lattice parameters (Å, degrees): 3.881 3.881 6.032 90.00 90.00 90.00
Atoms (fractional coordinates):
Co1 0.000 0.000 0.000
Te1 0.500 0.500 0.500
Se1 0.500 0.500 0.000
N1 0.000 0.500 0.500
N2 0.500 0.000 0.500



The following is a PBE calculation of a relaxed structure of TiZnH3, from Alexandria via LeMat-Bulk.

- spin magnetization (μB per formula unit) = 0.000
- crystal system = cubic
- uncorrected energy (eV per atom) = -3.48

Lattice parameters (Å, degrees): 3.447 3.447 3.447 90.00 90.00 90.00
Atoms (fractional coordinates):
Ti1 0.000 0.000 0.000
Zn1 0.500 0.500 0.500
H1 0.000 0.500 0.500
H2 0.500 0.000 0.500
H3 0.500 0.500 0.000



The following is a PBE calculation of a relaxed structure of LaSn2Pt2, from Alexandria via LeMat-Bulk.

- spin magnetization (μB per formula unit) = 0.000
- ΔH_f (0 K) (kJ/mol of formula units) = -288
- crystal system = tetragonal

Lattice parameters (Å, degrees): 7.719 7.719 3.838 90.00 90.00 90.00
Atoms (fractional coordinates):
La1 0.000 0.000 0.000
La2 0.500 0.500 0.000
Sn1 0.163 0.337 0.500
Sn2 0.337 0.837 0.500
Sn3 0.663 0.163 0.500
Sn4 0.837 0.663 0.500
Pt1 0.128 0.628 0.000
Pt2 0.372 0.128 0.000
Pt3 0.628 0.872 0.000
Pt4 0.872 0.372 0.000